Crystalline TcPRuS2 at its relaxed geometry. Source: Alexandria, functional PBE-GGA.

Lattice parameters (Å, degrees): 4.5664 4.5664 4.6219 90.00 90.00 90.00
Site moments in Bohr magnetons follow the coordinates.
Sites, in units of the cell vectors:
S: 0.0000 0.5000 0.0000  0.00
Tc: 0.0000 0.0000 0.0000  -0.54
Ru: 0.5000 0.5000 0.5000  2.07
P: 0.0000 0.0000 0.5000  -0.06
S: 0.5000 0.0000 0.0000  0.00

Output
- N(E_F): 6.2 states/eV/f.u.
- Offset from the most stable computed form: 0.000 eV/f.u.
- Energy relative to the elements, uncorrected: 95.2 kJ per mole of atoms

=====

Crystalline TcPRuS2 at its relaxed geometry. Source: Alexandria, functional PBE-GGA.

Lattice parameters (Å, degrees): 4.7138 4.7138 4.4069 90.00 90.00 90.00
Site moments in Bohr magnetons follow the coordinates.
Sites, in units of the cell vectors:
P: 0.0000 0.0000 0.5000  -0.11
Ru: 0.0000 0.0000 0.0000  -0.39
S: 0.5000 0.0000 0.0000  -0.07
Tc: 0.5000 0.5000 0.5000  3.42
S: 0.0000 0.5000 0.0000  -0.07

Output
- N(E_F): 5.3 states/eV/f.u.
- Offset from the most stable computed form: 0.056 eV/f.u.
- Energy relative to the elements, uncorrected: 96.3 kJ per mole of atoms

=====

Crystalline TcP2RuS at its relaxed geometry. Source: Alexandria, functional PBE-GGA.

Lattice parameters (Å, degrees): 4.5531 4.5531 4.5468 90.00 90.00 90.00
Site moments in Bohr magnetons follow the coordinates.
Sites, in units of the cell vectors:
S: 0.0000 0.0000 0.5000  -0.07
Ru: 0.5000 0.5000 0.5000  1.18
Tc: 0.0000 0.0000 0.0000  -0.21
P: 0.0000 0.5000 0.0000  -0.06
P: 0.5000 0.0000 0.0000  -0.06

Output
- N(E_F): 5.3 states/eV/f.u.
- Offset from the most stable computed form: 0.000 eV/f.u.
- Energy relative to the elements, uncorrected: 99.0 kJ per mole of atoms

=====

Crystalline TcP2RuS at its relaxed geometry. Source: Alexandria, functional PBE-GGA.

Lattice parameters (Å, degrees): 4.4197 4.4197 5.0301 90.00 90.00 90.00
Site moments in Bohr magnetons follow the coordinates.
Sites, in units of the cell vectors:
P: 0.0000 0.5000 0.0000  -0.10
Ru: 0.0000 0.0000 0.0000  -0.10
S: 0.0000 0.0000 0.5000  -0.04
Tc: 0.5000 0.5000 0.5000  3.24
P: 0.5000 0.0000 0.0000  -0.10

Output
- N(E_F): 5.0 states/eV/f.u.
- Offset from the most stable computed form: 0.028 eV/f.u.
- Energy relative to the elements, uncorrected: 99.6 kJ per mole of atoms

=====

Crystalline TePRuS2 at its relaxed geometry. Source: Alexandria, functional PBE-GGA.

Lattice parameters (Å, degrees): 4.5974 4.5974 4.7153 90.00 90.00 90.00
Sites, in units of the cell vectors:
S: 0.5000 0.0000 0.0000
P: 0.0000 0.0000 0.5000
Ru: 0.0000 0.0000 0.0000
Te: 0.5000 0.5000 0.5000
S: 0.0000 0.5000 0.0000

Output
- N(E_F): 6.1 states/eV/f.u.
- Offset from the most stable computed form: 0.000 eV/f.u.
- Energy relative to the elements, uncorrected: 42.6 kJ per mole of atoms

=====

Crystalline TePRu2S at its relaxed geometry. Source: Alexandria, functional PBE-GGA.

Lattice parameters (Å, degrees): 4.9223 5.0190 4.9223 90.00 90.00 90.00
Site moments in Bohr magnetons follow the coordinates.
Sites, in units of the cell vectors:
Ru: 0.5000 0.0000 0.0000  1.39
Ru: 0.0000 0.0000 0.5000  1.51
S: 0.5000 0.5000 0.5000  0.15
P: 0.0000 0.5000 0.0000  -0.01
Te: 0.0000 0.0000 0.0000  -0.02

Output
- N(E_F): 6.7 states/eV/f.u.
- Energy relative to the elements, uncorrected: 170.2 kJ per mole of atoms

=====

Crystalline Th6PRu2S3 at its relaxed geometry. Source: Alexandria, functional PBE-GGA.

Lattice parameters (Å, degrees): 7.1030 7.1030 7.2426 99.41 99.41 120.01
Sites, in units of the cell vectors:
Th: 0.7348 0.7348 0.2348
S: 0.1596 0.8404 0.5000
Th: 0.0801 0.4222 0.2374
Th: 0.9199 0.5778 0.7626
Ru: 0.6679 0.3321 0.0000
Ru: 0.3321 0.6679 0.0000
P: 0.0000 0.0000 0.0000
Th: 0.5778 0.9199 0.7626
S: 0.5000 0.5000 0.5000
Th: 0.4222 0.0801 0.2374
Th: 0.2652 0.2652 0.7652
S: 0.8404 0.1596 0.5000

Output
- N(E_F): 7.8 states/eV/f.u.
- Energy relative to the elements, uncorrected: -124.5 kJ per mole of atoms

=====

Crystalline ThPRuS at its relaxed geometry. Source: Alexandria, functional PBE-GGA.

Lattice parameters (Å, degrees): 4.2291 4.2291 8.6639 90.00 90.00 90.00
Sites, in units of the cell vectors:
P: 0.0000 0.5000 0.8657
S: 0.5000 0.5000 0.5000
Th: 0.0000 0.5000 0.2932
Ru: 0.5000 0.5000 0.0000
S: 0.0000 0.0000 0.5000
Ru: 0.0000 0.0000 0.0000
Th: 0.5000 0.0000 0.7068
P: 0.5000 0.0000 0.1343

Output
- N(E_F): 2.2 states/eV/f.u.
- Energy relative to the elements, uncorrected: -120.1 kJ per mole of atoms

=====

Crystalline Th4P2RuS at its relaxed geometry. Source: Alexandria, functional PBE-GGA.

Lattice parameters (Å, degrees): 4.0706 7.2108 7.1666 70.93 90.00 90.00
Sites, in units of the cell vectors:
Th: 0.5000 0.2490 0.7546
P: 0.0000 0.0000 0.0000
P: 0.5000 0.0000 0.5000
Th: 0.0000 0.7430 0.7598
S: 0.0000 0.5000 0.5000
Th: 0.5000 0.7510 0.2454
Th: 0.0000 0.2570 0.2402
Ru: 0.5000 0.5000 0.0000

Output
- N(E_F): 5.1 states/eV/f.u.
- Energy relative to the elements, uncorrected: -126.3 kJ per mole of atoms

=====

Crystalline TlP2RuS at its relaxed geometry. Source: Alexandria, functional PBE-GGA.

Lattice parameters (Å, degrees): 4.4906 4.4906 5.3837 90.00 90.00 90.00
Sites, in units of the cell vectors:
S: 0.0000 0.0000 0.5000
Ru: 0.0000 0.0000 0.0000
Tl: 0.5000 0.5000 0.5000
P: 0.0000 0.5000 0.0000
P: 0.5000 0.0000 0.0000

Output
- N(E_F): 5.2 states/eV/f.u.
- Offset from the most stable computed form: 0.000 eV/f.u.
- Energy relative to the elements, uncorrected: 31.2 kJ per mole of atoms

=====

Crystalline TlP2RuS at its relaxed geometry. Source: Alexandria, functional PBE-GGA.

Lattice parameters (Å, degrees): 5.0456 5.0456 5.0361 90.00 90.00 90.00
Site moments in Bohr magnetons follow the coordinates.
Sites, in units of the cell vectors:
P: 0.0000 0.5000 0.0000  -0.17
Tl: 0.0000 0.0000 0.0000  -0.01
P: 0.5000 0.0000 0.0000  -0.17
S: 0.0000 0.0000 0.5000  -0.06
Ru: 0.5000 0.5000 0.5000  2.55

Output
- N(E_F): 6.5 states/eV/f.u.
- Offset from the most stable computed form: 7.945 eV/f.u.
- Energy relative to the elements, uncorrected: 184.5 kJ per mole of atoms

=====

Crystalline UPRuS at its relaxed geometry. Source: Alexandria, functional PBE-GGA.

Lattice parameters (Å, degrees): 4.0737 4.0737 8.3734 90.00 90.00 90.00
Site moments in Bohr magnetons follow the coordinates.
Sites, in units of the cell vectors:
S: 0.0000 0.0000 0.5000  -0.07
Ru: 0.5000 0.5000 0.0000  -0.10
P: 0.5000 0.0000 0.1495  -0.01
U: 0.0000 0.5000 0.2879  1.28
P: 0.0000 0.5000 0.8505  -0.01
U: 0.5000 0.0000 0.7121  1.28
S: 0.5000 0.5000 0.5000  -0.07
Ru: 0.0000 0.0000 0.0000  -0.10

Output
- N(E_F): 6.1 states/eV/f.u.
- Energy relative to the elements, uncorrected: -88.8 kJ per mole of atoms

=====

Crystalline VP2RuS at its relaxed geometry. Source: Alexandria, functional PBE-GGA.

Lattice parameters (Å, degrees): 4.4008 4.4008 5.1379 90.00 90.00 90.00
Site moments in Bohr magnetons follow the coordinates.
Sites, in units of the cell vectors:
P: 0.0000 0.5000 0.0000  -0.08
Ru: 0.0000 0.0000 0.0000  0.11
P: 0.5000 0.0000 0.0000  -0.08
V: 0.5000 0.5000 0.5000  2.81
S: 0.0000 0.0000 0.5000  -0.11

Output
- N(E_F): 3.2 states/eV/f.u.
- Offset from the most stable computed form: 0.000 eV/f.u.
- Energy relative to the elements, uncorrected: 63.3 kJ per mole of atoms

=====

Crystalline VP2RuS at its relaxed geometry. Source: Alexandria, functional PBE-GGA.

Lattice parameters (Å, degrees): 4.5024 4.5024 4.3917 90.00 90.00 90.00
Site moments in Bohr magnetons follow the coordinates.
Sites, in units of the cell vectors:
S: 0.0000 0.0000 0.5000  -0.04
P: 0.0000 0.5000 0.0000  -0.08
V: 0.0000 0.0000 0.0000  0.33
P: 0.5000 0.0000 0.0000  -0.08
Ru: 0.5000 0.5000 0.5000  1.60

Output
- N(E_F): 4.0 states/eV/f.u.
- Offset from the most stable computed form: 0.328 eV/f.u.
- Energy relative to the elements, uncorrected: 69.6 kJ per mole of atoms

=====

Crystalline P2RuWS at its relaxed geometry. Source: Alexandria, functional PBE-GGA.

Lattice parameters (Å, degrees): 4.4491 4.4491 4.5873 90.00 90.00 90.00
Sites, in units of the cell vectors:
W: 0.5000 0.5000 0.5000
P: 0.5000 0.0000 0.0000
P: 0.0000 0.5000 0.0000
S: 0.0000 0.0000 0.5000
Ru: 0.0000 0.0000 0.0000

Output
- N(E_F): 8.4 states/eV/f.u.
- Offset from the most stable computed form: 1.415 eV/f.u.
- Energy relative to the elements, uncorrected: 127.4 kJ per mole of atoms

=====

Crystalline P2RuWS at its relaxed geometry. Source: Alexandria, functional PBE-GGA.

Lattice parameters (Å, degrees): 4.7040 4.7040 4.5568 90.00 90.00 90.00
Site moments in Bohr magnetons follow the coordinates.
Sites, in units of the cell vectors:
S: 0.0000 0.0000 0.5000  -0.01
W: 0.0000 0.0000 0.0000  0.08
P: 0.0000 0.5000 0.0000  -0.05
P: 0.5000 0.0000 0.0000  -0.05
Ru: 0.5000 0.5000 0.5000  2.07

Output
- N(E_F): 5.7 states/eV/f.u.
- Offset from the most stable computed form: 0.000 eV/f.u.
- Energy relative to the elements, uncorrected: 100.1 kJ per mole of atoms

=====

Crystalline YP2RuS at its relaxed geometry. Source: Alexandria, functional PBE-GGA.

Lattice parameters (Å, degrees): 5.2308 5.2308 5.0667 90.00 90.00 90.00
Site moments in Bohr magnetons follow the coordinates.
Sites, in units of the cell vectors:
Ru: 0.5000 0.5000 0.5000  2.70
P: 0.0000 0.5000 0.0000  -0.12
S: 0.0000 0.0000 0.5000  -0.06
P: 0.5000 0.0000 0.0000  -0.12
Y: 0.0000 0.0000 0.0000  0.01

Output
- N(E_F): 6.7 states/eV/f.u.
- Offset from the most stable computed form: 6.825 eV/f.u.
- Energy relative to the elements, uncorrected: 106.4 kJ per mole of atoms

=====

Crystalline YP2RuS at its relaxed geometry. Source: Alexandria, functional PBE-GGA.

Lattice parameters (Å, degrees): 4.4507 4.4507 5.1466 90.00 90.00 90.00
Sites, in units of the cell vectors:
P: 0.0000 0.5000 0.0000
Y: 0.5000 0.5000 0.5000
Ru: 0.0000 0.0000 0.0000
P: 0.5000 0.0000 0.0000
S: 0.0000 0.0000 0.5000

Output
- N(E_F): 3.6 states/eV/f.u.
- Offset from the most stable computed form: 0.000 eV/f.u.
- Energy relative to the elements, uncorrected: -25.3 kJ per mole of atoms

=====

Crystalline SbPRu2 at its relaxed geometry. Source: Alexandria, functional PBE-GGA.

Lattice parameters (Å, degrees): 4.4969 4.4969 4.4969 60.00 60.00 60.00
Sites, in units of the cell vectors:
P: 0.5000 0.5000 0.5000
Ru: 0.2500 0.2500 0.2500
Ru: 0.0000 0.0000 0.0000
Sb: 0.7500 0.7500 0.7500

Output
- N(E_F): 5.4 states/eV/f.u.
- Offset from the most stable computed form: 3.155 eV/f.u.
- Energy relative to the elements, uncorrected: 54.8 kJ per mole of atoms

=====

Crystalline Sb2PRu at its relaxed geometry. Source: Alexandria, functional PBE-GGA.

Lattice parameters (Å, degrees): 4.9178 4.9178 3.3336 81.61 81.61 100.46
Sites, in units of the cell vectors:
Ru: 0.5000 0.5000 0.5000
Sb: 0.5000 0.0000 0.0000
Sb: 0.0000 0.5000 0.0000
P: 0.0000 0.0000 0.5000

Output
- N(E_F): 2.5 states/eV/f.u.
- Energy relative to the elements, uncorrected: 40.8 kJ per mole of atoms

=====

Crystalline SbPRu2 at its relaxed geometry. Source: Alexandria, functional PBE-GGA.

Lattice parameters (Å, degrees): 3.3224 3.3224 5.9787 90.00 90.00 90.00
Site moments in Bohr magnetons follow the coordinates.
Sites, in units of the cell vectors:
Ru: 0.5000 0.5000 0.2497  0.44
Ru: 0.0000 0.0000 0.9263  0.25
Sb: 0.0000 0.0000 0.4691  0.00
P: 0.5000 0.5000 0.8550  0.00

Output
- N(E_F): 5.0 states/eV/f.u.
- Offset from the most stable computed form: 0.653 eV/f.u.
- Energy relative to the elements, uncorrected: -5.5 kJ per mole of atoms

=====

Crystalline SbP2Ru at its relaxed geometry. Source: Alexandria, functional PBE-GGA.

Lattice parameters (Å, degrees): 4.5642 4.5642 3.2361 90.00 90.00 101.65
Sites, in units of the cell vectors:
P: 0.0000 0.0000 0.0000
Sb: 0.0000 0.5000 0.5000
Ru: 0.5000 0.0000 0.5000
P: 0.5000 0.5000 0.0000

Output
- N(E_F): 3.0 states/eV/f.u.
- Energy relative to the elements, uncorrected: 51.5 kJ per mole of atoms

=====

Crystalline Sb2PRu at its relaxed geometry. Source: Alexandria, functional PBE-GGA.

Lattice parameters (Å, degrees): 3.4770 4.4071 5.1669 90.00 90.00 90.00
Site moments in Bohr magnetons follow the coordinates.
Sites, in units of the cell vectors:
Ru: 0.0000 0.5000 0.5000  0.21
Sb: 0.5000 0.0000 0.5000  0.00
Sb: 0.0000 0.0000 0.0000  0.00
P: 0.5000 0.5000 0.0000  0.00

Output
- N(E_F): 4.0 states/eV/f.u.
- Energy relative to the elements, uncorrected: 59.1 kJ per mole of atoms

=====

Crystalline SbP2Ru at its relaxed geometry. Source: Alexandria, functional PBE-GGA.

Lattice parameters (Å, degrees): 5.5668 5.5668 5.5668 149.15 124.03 65.28
Sites, in units of the cell vectors:
P: 0.9490 0.9490 0.0000
Ru: 0.7500 0.2500 0.5000
P: 0.5510 0.5510 0.0000
Sb: 0.2500 0.7500 0.5000

Output
- N(E_F): 2.2 states/eV/f.u.
- Energy relative to the elements, uncorrected: 29.9 kJ per mole of atoms

=====

Crystalline Sb2PRu at its relaxed geometry. Source: Alexandria, functional PBE-GGA.

Lattice parameters (Å, degrees): 4.9528 4.9528 4.9528 126.22 126.22 79.53
Sites, in units of the cell vectors:
P: 0.5000 0.5000 0.0000
Sb: 0.2500 0.7500 0.5000
Sb: 0.7500 0.2500 0.5000
Ru: 0.0000 0.0000 0.0000

Output
- N(E_F): 2.4 states/eV/f.u.
- Energy relative to the elements, uncorrected: 44.3 kJ per mole of atoms

=====

Crystalline Sb2PRu at its relaxed geometry. Source: Alexandria, functional PBE-GGA.

Lattice parameters (Å, degrees): 3.2389 3.2389 7.2315 90.00 90.00 90.00
Sites, in units of the cell vectors:
Sb: 0.0000 0.0000 0.7336
Sb: 0.0000 0.0000 0.2664
Ru: 0.5000 0.5000 0.5000
P: 0.5000 0.5000 0.0000

Output
- N(E_F): 2.3 states/eV/f.u.
- Energy relative to the elements, uncorrected: 27.2 kJ per mole of atoms

=====

Crystalline SbPRu2 at its relaxed geometry. Source: Alexandria, functional PBE-GGA.

Lattice parameters (Å, degrees): 4.1871 4.1871 5.4923 77.48 77.48 42.41
Sites, in units of the cell vectors:
Sb: 0.5000 0.5000 0.0000
Ru: 0.2601 0.2601 0.7098
P: 0.0000 0.0000 0.5000
Ru: 0.7399 0.7399 0.2902

Output
- N(E_F): 3.7 states/eV/f.u.
- Offset from the most stable computed form: 0.780 eV/f.u.
- Energy relative to the elements, uncorrected: -2.5 kJ per mole of atoms

=====

Crystalline SbPRu2 at its relaxed geometry. Source: Alexandria, functional PBE-GGA.

Lattice parameters (Å, degrees): 3.5389 3.2674 5.8511 89.99 90.00 90.00
Sites, in units of the cell vectors:
Sb: 0.5000 0.5000 0.0000
Ru: 0.0000 0.9998 0.2554
P: 0.5000 0.0000 0.5000
Ru: 0.0000 0.0002 0.7446

Output
- N(E_F): 2.3 states/eV/f.u.
- Offset from the most stable computed form: 0.814 eV/f.u.
- Energy relative to the elements, uncorrected: -1.6 kJ per mole of atoms

=====

Crystalline SbP3Ru at its relaxed geometry. Source: Alexandria, functional PBE-GGA.

Lattice parameters (Å, degrees): 4.6194 4.6194 4.6194 90.00 90.00 90.00
Sites, in units of the cell vectors:
P: 0.5000 0.0000 0.0000
P: 0.0000 0.0000 0.5000
P: 0.0000 0.5000 0.0000
Ru: 0.0000 0.0000 0.0000
Sb: 0.5000 0.5000 0.5000

Output
- N(E_F): 3.7 states/eV/f.u.
- Offset from the most stable computed form: 0.000 eV/f.u.
- Energy relative to the elements, uncorrected: 52.2 kJ per mole of atoms